This record from the Alexandria database describes a relaxed structure of Dy2Al2ZnPt5. The functional is PBE. Values from VASP.

The structure in Quantum ESPRESSO input format:
```
&SYSTEM
  ibrav = 0, nat = 20, ntyp = 4
/
ATOMIC_SPECIES
Dy 162.50 Dy.upf
Al 26.98 Al.upf
Zn 65.41 Zn.upf
Pt 195.08 Pt.upf
CELL_PARAMETERS angstrom
3.668 0.000 0.000
0.000 9.798 0.000
0.000 0.000 9.798
ATOMIC_POSITIONS angstrom
Dy 0.000 6.629 1.730
Dy 0.000 3.169 8.068
Dy 0.000 1.730 3.169
Dy 0.000 8.068 6.629
Al 0.000 1.203 6.102
Al 0.000 8.595 3.696
Al 0.000 6.102 8.595
Al 0.000 3.696 1.203
Zn 0.000 0.000 0.000
Zn 0.000 4.899 4.899
Pt 1.834 2.009 0.628
Pt 1.834 7.789 9.171
Pt 1.834 0.628 7.789
Pt 1.834 6.909 4.272
Pt 1.834 9.171 2.009
Pt 1.834 2.890 5.527
Pt 1.834 5.527 6.909
Pt 1.834 4.272 2.890
Pt 1.834 4.899 0.000
Pt 1.834 0.000 4.899
```

Output
**E**: -5.750 eV/atom
**Total magnetic moment**: 0.0 Bohr magnetons per cell
**ΔE_f**: -0.933 eV/atom
**Space group**: P4/mbm, No. 127
**Calculated density**: 13.4 g/cm³